# LiCoNiGe2

A geometry-optimized LiCoNiGe2 structure (PBE, Alexandria).

Computed properties:
SG: P4/mmm, No. 123
DOS at the Fermi energy (states/eV/f.u.): 4.25
Formation energy from the elements (eV per formula unit): 4.0
DFT total energy (eV per atom): -3.997

a = 4.3101 Å, b = 4.3101 Å, c = 3.8778 Å
α = 90.00°, β = 90.00°, γ = 90.00°
Positions (direct):
Li (0.0000, 0.0000, 0.0000)
Co (0.0000, 0.0000, 0.5000)
Ni (0.5000, 0.5000, 0.5000)
Ge (0.0000, 0.5000, 0.0000)
Ge (0.5000, 0.0000, 0.0000)